(1)
Compound: Cu2AgPt
Source: Alexandria via LeMat-Bulk
Functional: PBE-GGA
Structure: optimized geometry

abc: 4.4968 4.4968 4.4968
angles: 126.10 126.10 79.72
With the nearest neighbours (Å) after each atom.
Fractional positions:
Pt: 0.2500 0.7500 0.5000  8 Cu 2.67, 4 Ag 2.88
Ag: 0.7500 0.2500 0.5000  8 Cu 2.67, 4 Pt 2.88
Cu: 0.0000 0.0000 0.0000  4 Pt 2.67, 4 Ag 2.67, 4 Cu 2.88
Cu: 0.5000 0.5000 0.0000  4 Pt 2.67, 4 Ag 2.67, 4 Cu 2.88

Computed properties:
* relative energy among the computed polymorphs: 0.10 eV per formula unit

(2)
Compound: Cu2AgPt
Source: Alexandria via LeMat-Bulk
Functional: PBE-GGA
Structure: optimized geometry

abc: 6.4080 4.5089 2.8671
angles: 90.09 63.28 124.58
With the nearest neighbours (Å) after each atom.
Fractional positions:
Cu: 0.0000 0.0000 0.0000  4 Ag 2.67, 4 Pt 2.67, 4 Cu 2.86-2.87
Pt: 0.0000 0.5000 0.5000  8 Cu 2.67, 2 Ag 2.86, 2 Pt 2.87
Ag: 0.5000 0.5000 0.0000  8 Cu 2.67, 2 Pt 2.86, 2 Ag 2.87
Cu: 0.5000 0.0000 0.5000  4 Pt 2.67, 4 Ag 2.67, 4 Cu 2.86-2.87

Computed properties:
* relative energy among the computed polymorphs: 0.00 eV per formula unit

(3)
Compound: Cu2AgPt
Source: Alexandria via LeMat-Bulk
Functional: PBE-GGA
Structure: optimized geometry

abc: 3.6301 2.8071 6.3161
angles: 63.66 90.00 90.00
With the nearest neighbours (Å) after each atom.
Fractional positions:
Pt: 0.5000 0.2500 0.2500  8 Cu 2.65, 2 Pt 2.81, 2 Ag 2.83
Cu: 0.0000 0.5145 0.4857  4 Pt 2.65, 3 Cu 2.67-2.81, 4 Ag 2.74
Ag: 0.5000 0.7500 0.7500  8 Cu 2.74, 2 Ag 2.81, 2 Pt 2.83
Cu: 0.0000 0.9855 0.0143  4 Pt 2.65, 3 Cu 2.67-2.81, 4 Ag 2.74

Computed properties:
* relative energy among the computed polymorphs: 0.07 eV per formula unit

(4)
Compound: Cu2AgPt
Source: Alexandria via LeMat-Bulk
Functional: PBE-GGA
Structure: optimized geometry

abc: 5.1320 5.1320 5.1320
angles: 146.47 127.15 64.06
With the nearest neighbours (Å) after each atom.
Fractional positions:
Ag: 0.2500 0.7500 0.5000  4 Cu 2.66, 4 Pt 2.72, 2 Ag 2.96
Cu: 0.5038 0.5038 0.0000  2 Pt 2.60, 2 Ag 2.66, 4 Cu 2.72
Pt: 0.7500 0.2500 0.5000  4 Cu 2.60, 4 Ag 2.72
Cu: 0.9962 0.9962 0.0000  2 Pt 2.60, 2 Ag 2.66, 4 Cu 2.72

Computed properties:
* relative energy among the computed polymorphs: 0.49 eV per formula unit

(5)
Compound: CuAgPt
Source: Alexandria via LeMat-Bulk
Functional: PBE-GGA
Structure: optimized geometry

abc: 4.9367 4.9367 4.9367
angles: 146.90 135.24 56.79
With the nearest neighbours (Å) after each atom.
Fractional positions:
Cu: 0.3254 0.3254 0.0000  4 Pt 2.67, 5 Ag 2.78-2.85, 2 Cu 2.81
Pt: 0.6778 0.6778 0.0000  4 Cu 2.67, 5 Ag 2.77-2.83, 2 Pt 2.81
Ag: 0.9968 0.9968 0.0000  5 Pt 2.77-2.83, 5 Cu 2.78-2.85, 2 Ag 2.81

Computed properties:
* relative energy among the computed polymorphs: 0.09 eV per formula unit

(6)
Compound: CuAgPt
Source: Alexandria via LeMat-Bulk
Functional: PBE-GGA
Structure: optimized geometry

abc: 4.8906 4.0722 5.4978
angles: 89.94 110.97 65.44
With the nearest neighbours (Å) after each atom.
Fractional positions:
Cu: 0.3105 0.8447 0.0813  1 Cu 2.55, 3 Pt 2.63-2.68, 4 Ag 2.74-2.76
Ag: 0.3484 0.8261 0.5943  4 Cu 2.74-2.76, 5 Pt 2.83-2.90, 3 Ag 2.85-2.86
Ag: 0.6516 0.1739 0.4057  4 Cu 2.74-2.76, 5 Pt 2.83-2.90, 3 Ag 2.85-2.86
Pt: 0.0387 0.4806 0.7689  5 Cu 2.63-2.87, 2 Pt 2.70-2.84, 5 Ag 2.83-2.90
Pt: 0.9613 0.5194 0.2311  5 Cu 2.63-2.87, 2 Pt 2.70-2.84, 5 Ag 2.83-2.90
Cu: 0.6895 0.1553 0.9187  1 Cu 2.55, 3 Pt 2.63-2.68, 4 Ag 2.74-2.76

Computed properties:
* relative energy among the computed polymorphs: 0.06 eV per formula unit

(7)
Compound: Cu5AgPt4
Source: Alexandria via LeMat-Bulk
Functional: PBE-GGA
Structure: optimized geometry

abc: 3.6286 2.7756 14.0278
angles: 90.00 90.00 90.00
With the nearest neighbours (Å) after each atom.
Fractional positions:
Pt: 0.0000 0.0000 0.4015  8 Cu 2.67, 4 Pt 2.76-2.78
Cu: 0.5000 0.5000 0.1089  4 Pt 2.64, 3 Cu 2.72-2.78, 4 Ag 2.75
Ag: 0.0000 0.0000 0.0000  8 Cu 2.75, 2 Ag 2.78, 2 Pt 2.85
Pt: 0.0000 0.0000 0.2031  8 Cu 2.64-2.68, 3 Pt 2.78, 1 Ag 2.85
Cu: 0.5000 0.5000 0.3028  8 Pt 2.67-2.68, 4 Cu 2.72-2.78
Cu: 0.5000 0.5000 0.6972  8 Pt 2.67-2.68, 4 Cu 2.72-2.78
Pt: 0.0000 0.0000 0.5985  8 Cu 2.67, 4 Pt 2.76-2.78
Cu: 0.5000 0.5000 0.5000  8 Pt 2.67, 4 Cu 2.77-2.78
Pt: 0.0000 0.0000 0.7969  8 Cu 2.64-2.68, 3 Pt 2.78, 1 Ag 2.85
Cu: 0.5000 0.5000 0.8911  4 Pt 2.64, 3 Cu 2.72-2.78, 4 Ag 2.75

(8)
Compound: Cu5Ag2Pt2
Source: Alexandria via LeMat-Bulk
Functional: PBE-GGA
Structure: optimized geometry

abc: 2.8084 11.3819 4.8019
angles: 70.15 72.82 104.07
With the nearest neighbours (Å) after each atom.
Fractional positions:
Ag: 0.2409 0.7854 0.0900  7 Cu 2.62-2.78, 3 Pt 2.77-2.81, 2 Ag 2.81
Cu: 0.8651 0.1024 0.4749  7 Cu 2.57-2.87, 3 Ag 2.71-2.78, 2 Pt 2.76
Ag: 0.7591 0.2146 0.9100  7 Cu 2.62-2.78, 3 Pt 2.77-2.81, 2 Ag 2.81
Cu: 0.0000 0.0000 0.0000  8 Cu 2.57-2.87, 4 Ag 2.62-2.63
Pt: 0.3208 0.6616 0.6805  7 Cu 2.62-2.80, 3 Ag 2.77-2.81, 2 Pt 2.81
Cu: 0.1349 0.8976 0.5251  7 Cu 2.57-2.87, 3 Ag 2.71-2.78, 2 Pt 2.76
Cu: 0.5651 0.4475 0.7652  5 Cu 2.59-2.86, 5 Pt 2.62-2.80, 2 Ag 2.74-2.75
Pt: 0.6792 0.3384 0.3195  7 Cu 2.62-2.80, 3 Ag 2.77-2.81, 2 Pt 2.81
Cu: 0.4349 0.5525 0.2348  5 Cu 2.59-2.86, 5 Pt 2.62-2.80, 2 Ag 2.74-2.75

The records above give, respectively, M_tot values of 0.0 0.0 0.0 0.0 0.0 0.0 0.0 0.0 μB/f.u..
The records above give, respectively, formation enthalpy at 0 K values of -0.042 -0.067 -0.049 0.056 0.006 -0.006 -0.104 -0.003 eV/atom.
The records above give, respectively, D(E_F) values of 1.138 1.173 1.195 1.167 1.168 3.098 9.557 3.064 states/eV per cell.